(1)
Entry from the Alexandria database: a relaxed structure of SrTcCl2 (PBEsol).

```
SrTcCl2
1.0
-1.8956 2.7251 3.9374
1.8956 -2.7251 3.9374
1.8956 2.7251 -3.9374
Sr Tc Cl
1 1 2
Cartesian
0.0000 0.0000 0.0000
0.0000 0.0000 3.9374
1.8956 0.0000 2.4908
0.0000 2.7251 1.4466
```

## Properties
The energy relative to the lowest polymorph listed for this composition comes out at 0.0000 eV per atom. The volume comes out at 20.34 Å³/atom. The value obtained for the formation energy from raw total energies is -0.553 eV/atom. Its space group is Immm, No. 71.

***

(2)
Entry from the Alexandria database: a relaxed structure of MgAlAg2 (PBEsol).

```
MgAlAg2
1.0
-1.6528 2.2305 4.5653
1.6528 -2.2305 4.5653
1.6528 2.2305 -4.5653
Mg Al Ag
1 1 2
Cartesian
0.0000 0.0000 0.0000
0.0000 2.2305 2.1517
1.6528 0.0000 2.3276
0.0000 0.0000 4.6139
```

## Properties
The energy relative to the lowest polymorph listed for this composition comes out at 0.0557 eV per atom. The volume comes out at 16.83 Å³/atom. The value obtained for the formation energy is -147 meV per atom. Its space group is Imm2, No. 44.

***

(3)
Entry from the Alexandria database: a relaxed structure of YBAs2Br (PBEsol).

```
YBAs2Br
1.0
5.4174 0.0000 0.0000
0.0000 5.4174 0.0000
0.0000 0.0000 4.7424
Y B As Br
1 1 2 1
Cartesian
0.0000 0.0000 0.0000
0.0000 0.0000 2.3712
0.0000 2.7087 0.0000
2.7087 0.0000 0.0000
2.7087 2.7087 2.3712
```

## Properties
The volume comes out at 27.84 Å³/atom. The value obtained for the formation energy from raw total energies is 1.121 eV/atom. Its space group is P4/mmm, No. 123.